# BaMg2SiPd (PBE, optimized geometry)
data_BaMg2SiPd
_cell_length_a 5.094
_cell_length_b 5.094
_cell_length_c 4.810
_cell_angle_alpha 90.00
_cell_angle_beta 90.00
_cell_angle_gamma 90.00
_symmetry_space_group_name_H-M 'P 4/m m m'
_symmetry_Int_Tables_number 123
_symmetry_space_group_name_Hall '-P 4 2'
loop_
_atom_site_label
_atom_site_fract_x
_atom_site_fract_y
_atom_site_fract_z
_atom_site_occupancy
Ba1 0.000 0.000 0.000 1
Mg1 0.000 0.500 0.500 1
Si1 0.500 0.500 0.000 1
Pd1 0.500 0.500 0.500 1
# Formation energy from raw total energies ... -0.315 eV/atom
# Crystal system ... tetragonal

=====

# Zr6FeAu2 (PBE, optimized geometry)
data_Zr6FeAu2
_cell_length_a 7.9248
_cell_length_b 7.9248
_cell_length_c 3.3839
_cell_angle_alpha 90.00
_cell_angle_beta 90.00
_cell_angle_gamma 120.00
_symmetry_space_group_name_H-M 'P -6 2 m'
_symmetry_Int_Tables_number 189
_symmetry_space_group_name_Hall 'P -6 -2'
loop_
_atom_site_label
_atom_site_fract_x
_atom_site_fract_y
_atom_site_fract_z
_atom_site_occupancy
Zr1 0.0000 0.2414 0.0000 1
Zr2 0.0000 0.6026 0.5000 1
Fe1 0.0000 0.0000 0.5000 1
Au1 0.3333 0.6667 0.0000 1
# Crystal system ... hexagonal
# Energy of formation from the pure elements ... -0.322 eV per atom

=====

# TcHg3 (PBE, optimized geometry)
data_TcHg3
_cell_length_a 4.228
_cell_length_b 4.228
_cell_length_c 17.892
_cell_angle_alpha 90.00
_cell_angle_beta 90.00
_cell_angle_gamma 90.00
_symmetry_space_group_name_H-M 'I 4/m m m'
_symmetry_Int_Tables_number 139
_symmetry_space_group_name_Hall '-I 4 2'
loop_
_atom_site_label
_atom_site_fract_x
_atom_site_fract_y
_atom_site_fract_z
_atom_site_occupancy
Tc1 0.000 0.000 0.115 1
Hg1 0.000 0.000 0.373 1
Hg2 0.000 0.500 0.000 1
Hg3 0.000 0.500 0.250 1
# Crystal system ... tetragonal
# Energy of formation from the pure elements ... 0.584 eV per atom

=====

| no. | energy (eV/f.u.) |
| --- | --- |
| 1 | -17.30 |
| 2 | -69.20 |
| 3 | -8.94 |